# BaDy2NiO5

An optimized crystal structure of BaDy2NiO5 (GGA+U, Alexandria via LeMat-Bulk).

The space group is Immm (No. 71) and the conventional cell measures 3.797, 5.809 and 11.431 Å, with angles of 90.00, 90.00 and 90.00 degrees. The distinct sites, in fractional coordinates, are Ba at (0.000, 0.000, 0.000), Dy at (0.000, 0.500, 0.203), Ni at (0.000, 0.000, 0.500), O at (0.000, 0.240, 0.350) and O at (0.000, 0.500, 0.000).

The energy is -7.068 eV/atom. The calculation puts the total magnetization at 2.00 μB/f.u. Its density of states at the Fermi level is 0.00 states/eV per atom.